# 1
Entry from Alexandria via LeMat-Bulk: crystalline ScBe2I at its relaxed geometry (GGA-PBE).

Results
**Symmetry**: I-42d
**Uncorrected formation energy**: 620 meV per atom
**Energy relative to the lowest polymorph listed for this composition**: 0.000 eV/atom

The structure in CIF format:
```
data_ScBe2I
_chemical_formula_sum 'Sc2 Be4 I2'
_cell_length_a 7.352
_cell_length_b 7.352
_cell_length_c 5.905
_cell_angle_alpha 51.50
_cell_angle_beta 51.50
_cell_angle_gamma 90.00
_space_group_name_H-M_alt 'P 1'
_space_group_IT_number 1
_space_group_name_Hall 'P 1'
loop_
_atom_site_label
_atom_site_type_symbol
_atom_site_fract_x
_atom_site_fract_y
_atom_site_fract_z
Be1 Be 0.375 0.360 0.750
Be2 Be 0.640 0.125 0.250
Be3 Be 0.110 0.625 0.250
Be4 Be 0.875 0.890 0.750
Sc1 Sc 0.250 0.750 0.500
Sc2 Sc 0.500 0.500 0.000
I1 I 0.750 0.250 0.500
I2 I 0.000 0.000 0.000
```

=====

# 2
Entry from Alexandria via LeMat-Bulk: crystalline KZr2AgMo at its relaxed geometry (GGA-PBE).

Results
**Formation energy from the elements**: 1486.6 meV/atom
**Symmetry**: P4/mmm

The structure in CIF format:
```
data_KZr2AgMo
_chemical_formula_sum 'K1 Zr2 Ag1 Mo1'
_cell_length_a 5.283
_cell_length_b 5.282
_cell_length_c 5.283
_cell_angle_alpha 90.00
_cell_angle_beta 90.00
_cell_angle_gamma 90.00
_space_group_name_H-M_alt 'P 1'
_space_group_IT_number 1
_space_group_name_Hall 'P 1'
loop_
_atom_site_label
_atom_site_type_symbol
_atom_site_fract_x
_atom_site_fract_y
_atom_site_fract_z
K1 K 0.500 0.500 0.500
Ag1 Ag 0.000 0.000 0.000
Zr1 Zr 0.500 0.000 0.000
Zr2 Zr 0.000 0.000 0.500
Mo1 Mo 0.000 0.500 0.000
```

=====

| no. | N(E_F) (states/eV/atom) | total energy (Ry per atom) |
| --- | --- | --- |
| 1 | 0.638 | -0.2362 |
| 2 | 1.458 | -0.3593 |